1.
## Sm2CdGe2 (PBE)

Data for a relaxed structure of Sm2CdGe2.

Results
* ΔH_f (0 K): -739 meV/atom
* raw total energy: -4.657 eV/atom
* SG: P4/mbm

```
Sm2CdGe2
1.0
-6.489 3.619 0.513
-2.881 -4.420 -5.257
-1.295 -2.751 3.023
Sm Cd Ge
4 2 4
Cartesian
-7.932 -1.405 -1.636
-2.734 -2.147 -0.084
-5.096 -3.843 -2.640
-5.569 0.290 0.919
0.000 0.000 0.000
-4.685 -0.401 -2.372
-6.560 -1.642 -4.305
-6.800 1.505 -1.544
-2.810 0.840 -0.439
-2.570 -2.307 -3.200
```

2.
## Sm6Cd5Ge (PBE)

Data for a relaxed structure of Sm6Cd5Ge.

Results
* ΔH_f (0 K): -389 meV/atom
* raw total energy: -3.515 eV/atom
* SG: Cmmm

```
Sm6Cd5Ge
1.0
-1.787 2.339 4.433
4.299 -4.592 4.157
5.149 6.491 1.845
Cd Sm Ge
5 6 1
Cartesian
1.273 3.078 2.083
4.339 3.545 6.267
3.322 0.693 4.168
2.150 -2.296 2.078
2.089 5.753 4.194
6.481 1.332 5.104
4.282 3.681 2.978
0.115 0.092 3.192
3.379 0.557 7.456
2.397 -2.345 5.398
1.180 2.906 5.330
0.000 0.000 0.000
```

3.
## Sm4CdGe2 (PBE)

Data for a relaxed structure of Sm4CdGe2.

Results
* ΔH_f (0 K): -457 meV/atom
* raw total energy: -4.604 eV/atom
* SG: R-3m

```
Sm4CdGe2
1.0
-1.565 0.731 -4.220
-2.587 -3.146 -2.049
-10.888 4.155 2.293
Ge Sm Cd
2 4 1
Cartesian
-8.086 2.693 1.001
-6.954 -0.953 -4.976
-10.714 2.537 -0.515
-5.206 1.190 -0.327
-4.326 -0.797 -3.461
-9.833 0.550 -3.648
0.000 0.000 0.000
```

4.
## Sm2Cd3Ge2 (PBE)

Data for a relaxed structure of Sm2Cd3Ge2.

Results
* ΔH_f (0 K): -444 meV/atom
* raw total energy: -3.504 eV/atom
* SG: Cmmm

```
Sm2Cd3Ge2
1.0
4.221 0.000 0.000
0.000 3.911 0.000
0.000 -1.955 10.350
Cd Ge Sm
3 2 2
Cartesian
0.000 0.000 0.000
2.110 1.955 1.452
2.110 0.000 8.899
2.110 0.000 6.011
2.110 1.955 4.340
0.000 1.955 6.841
0.000 0.000 3.509
```